# 1
26
Lattice="3.235 0.000 0.000 0.000 10.832 0.000 0.000 0.000 19.603" Properties=species:S:1:pos:R:3 comment="Tm3Zr2Sc8 (GGA-PBE, optimized geometry)" e_tot_ev_per_atom=-6.07 volume_a3_per_cell=687 pbc="T T T"
Tm 0.000 0.000 0.000
Tm 0.000 5.416 9.801
Tm 0.000 7.298 3.961
Tm 0.000 3.534 15.642
Tm 0.000 1.882 5.840
Tm 0.000 8.950 13.763
Zr 1.618 8.713 1.606
Zr 1.618 2.119 17.996
Zr 1.618 3.297 8.195
Zr 1.618 7.536 11.408
Sc 0.000 7.689 18.523
Sc 0.000 3.143 1.080
Sc 0.000 2.273 10.882
Sc 0.000 8.559 8.721
Sc 3.235 0.068 3.241
Sc 0.000 10.764 16.362
Sc 0.000 5.485 6.560
Sc 0.000 5.348 13.043
Sc 1.618 9.647 5.873
Sc 1.618 1.185 13.729
Sc 1.618 4.231 3.928
Sc 1.618 6.602 15.675
Sc 1.618 5.914 1.348
Sc 1.618 4.918 18.255
Sc 1.618 0.498 8.453
Sc 1.618 10.335 11.149

=====

# 2
20
Lattice="6.030 0.000 0.000 0.000 10.604 -2.452 0.000 -4.757 9.790" Properties=species:S:1:pos:R:3 comment="DyTh3Sc6 (GGA-PBE, optimized geometry)" relative_energy_mev_per_atom=107 volume_a3_per_cell=556 pbc="T T T"
Dy 0.162 -2.338 7.862
Dy 3.177 8.186 -0.525
Th 3.072 6.682 4.517
Th 0.057 2.912 7.521
Th 0.637 1.838 4.534
Th 3.652 4.009 2.804
Th 0.057 -0.834 2.821
Th 3.072 2.936 -0.184
Sc 0.300 5.049 4.257
Sc 3.315 3.023 5.871
Sc 2.024 0.514 7.650
Sc 5.040 7.342 2.208
Sc 1.630 10.580 -2.433
Sc 4.781 -0.084 6.066
Sc 1.766 5.932 1.271
Sc 4.645 -4.733 9.771
Sc 2.024 -1.494 5.130
Sc 5.040 5.334 -0.312
Sc 0.300 2.825 1.466
Sc 3.315 0.799 3.081

=====

# 3
10
Lattice="0.104 -3.966 2.226 4.643 1.879 7.778 -6.210 2.880 5.420" Properties=species:S:1:pos:R:3 comment="CaNd2Sb2 (GGA-PBE, optimized geometry)" formation_energy_uncorrected_ev_per_atom=-0.8490 relative_energy_mev_per_atom=158 volume_a3_per_cell=346 pbc="T T T"
Ca 3.048 -1.184 9.368
Ca -4.512 1.978 6.056
Nd 0.794 -0.312 6.378
Nd -0.083 0.247 12.062
Nd -1.381 0.547 3.362
Nd -2.258 1.106 9.046
Sb -2.196 2.692 11.869
Sb -2.438 -0.485 6.220
Sb 0.732 -1.898 3.555
Sb 0.974 1.279 9.204

=====

# 4
7
Lattice="4.155 0.000 0.000 0.000 4.192 0.000 0.000 -2.096 7.313" Properties=species:S:1:pos:R:3 comment="PrZn4Ga2 (GGA-PBE, optimized geometry)" e_tot_ev_per_atom=-2.59 volume_a3_per_cell=127 pbc="T T T"
Pr 0.000 0.000 0.000
Zn 2.078 2.096 4.584
Zn 0.000 2.096 2.807
Zn 2.078 0.000 2.729
Zn 0.000 0.000 4.506
Ga 2.078 2.096 1.257
Ga 2.078 0.000 6.056

=====

# 5
5
Lattice="4.680 0.000 0.000 0.000 4.680 0.000 0.000 0.000 4.783" Properties=species:S:1:pos:R:3 comment="BaSnN2O (GGA-PBE, optimized geometry)" formation_energy_uncorrected_ev_per_atom=1.2593 volume_a3_per_cell=105 pbc="T T T"
N 0.000 2.340 0.000
N 2.340 0.000 0.000
Ba 0.000 0.000 0.000
O 0.000 0.000 2.391
Sn 2.340 2.340 2.391

=====

# 6
5
Lattice="-4.089 4.246 0.624 -4.223 -4.134 0.458 0.764 -0.129 5.876" Properties=species:S:1:pos:R:3 comment="SrTiTl3 (GGA-PBE, optimized geometry)" e_tot_ev_per_atom=-2.09 volume_a3_per_cell=208 pbc="T T T"
Sr 0.000 0.000 0.000
Tl -2.111 -2.067 0.229
Tl 0.382 -0.064 2.938
Tl -2.044 2.123 0.312
Ti -3.774 -0.009 3.480

=====

# 7
5
Lattice="-3.881 -2.764 -0.410 2.601 -3.980 2.203 -1.474 1.428 4.319" Properties=species:S:1:pos:R:3 comment="SrHfMn2P (GGA-PBE, optimized geometry)" e_tot_ev_per_atom=-5.35 volume_a3_per_cell=120 pbc="T T T"
Sr 0.000 0.000 0.000
Mn -0.737 0.714 2.160
Mn -1.941 -1.382 -0.205
Hf -1.377 -2.657 3.056
P 1.300 -1.990 1.102

=====

# 8
4
Lattice="-1.969 3.131 2.580 -3.507 2.352 -1.583 -5.351 -2.112 2.373" Properties=species:S:1:pos:R:3 comment="BaMnPt2 (GGA-PBE, optimized geometry)" e_tot_ev_per_atom=-6.18 volume_a3_per_cell=100 pbc="T T T"
Ba -5.375 1.746 1.660
Mn -1.972 1.658 0.419
Pt -5.654 5.281 1.100
Pt -8.715 1.855 2.874